(w)
First-principles (PBE) data for Sm2Ho3Zn2 after structural relaxation, as listed in Alexandria via LeMat-Bulk.

Properties
**M_tot**: 0.0 μB/cell
**Space-group type**: C2/m
**DOS at the Fermi energy**: 8.67 states/eV per cell

abc: 6.1916 6.1916 8.1053
angles: 114.73 114.73 44.76
Fractional coordinates of all 7 atoms:
Sm (0.1361, 0.1361, 0.2916)
Sm (0.8639, 0.8639, 0.7084)
Ho (0.3660, 0.3660, 0.0377)
Ho (0.5000, 0.5000, 0.5000)
Ho (0.6340, 0.6340, 0.9623)
Zn (0.1452, 0.1452, 0.6899)
Zn (0.8548, 0.8548, 0.3101)

(x)
First-principles (PBE) data for Sm2Ho3Zn2 after structural relaxation, as listed in Alexandria via LeMat-Bulk.

Properties
**M_tot**: 0.8 μB/cell
**Space-group type**: Cmmm
**DOS at the Fermi energy**: 7.47 states/eV per cell

abc: 15.2373 15.2373 3.5386
angles: 90.00 90.00 166.40
Fractional coordinates of all 7 atoms:
Sm (0.1991, 0.8009, 0.0000)
Sm (0.8009, 0.1991, 0.0000)
Ho (0.0824, 0.9176, 0.0000)
Ho (0.5000, 0.5000, 0.5000)
Ho (0.9176, 0.0824, 0.0000)
Zn (0.3616, 0.6384, 0.5000)
Zn (0.6384, 0.3616, 0.5000)

Stability ranking, top entry: (x); the second entry is 41 meV per atom less favorable.

(w)
First-principles (PBE) data for Sm12Ho7Zr after structural relaxation, as listed in Alexandria via LeMat-Bulk.

Properties
**M_tot**: 0.0 μB/cell
**Space-group type**: R-3m
**DOS at the Fermi energy**: 30.18 states/eV per cell

abc: 11.4483 11.4483 11.4483
angles: 116.89 116.89 116.89
Fractional coordinates of all 20 atoms:
Sm (0.0000, 0.4134, 0.5866)
Sm (0.0000, 0.5866, 0.4134)
Sm (0.0757, 0.0757, 0.4290)
Sm (0.0757, 0.4290, 0.0757)
Sm (0.4134, 0.0000, 0.5866)
Sm (0.4134, 0.5866, 0.0000)
Sm (0.4290, 0.0757, 0.0757)
Sm (0.5710, 0.9243, 0.9243)
Sm (0.5866, 0.0000, 0.4134)
Sm (0.5866, 0.4134, 0.0000)
Sm (0.9243, 0.5710, 0.9243)
Sm (0.9243, 0.9243, 0.5710)
Ho (0.0000, 0.0000, 0.0000)
Ho (0.1419, 0.3832, 0.3832)
Ho (0.3832, 0.1419, 0.3832)
Ho (0.3832, 0.3832, 0.1419)
Ho (0.6168, 0.6168, 0.8581)
Ho (0.6168, 0.8581, 0.6168)
Ho (0.8581, 0.6168, 0.6168)
Zr (0.5000, 0.5000, 0.5000)

(x)
First-principles (PBE) data for Sm12Ho7Zr after structural relaxation, as listed in Alexandria via LeMat-Bulk.

Properties
**M_tot**: 0.0 μB/cell
**Space-group type**: R-3m
**DOS at the Fermi energy**: 23.89 states/eV per cell

abc: 10.0036 10.0036 10.0036
angles: 112.92 112.92 112.92
Fractional coordinates of all 20 atoms:
Sm (0.0000, 0.2840, 0.7160)
Sm (0.0000, 0.7160, 0.2840)
Sm (0.1509, 0.1509, 0.4505)
Sm (0.1509, 0.4505, 0.1509)
Sm (0.2840, 0.0000, 0.7160)
Sm (0.2840, 0.7160, 0.0000)
Sm (0.4505, 0.1509, 0.1509)
Sm (0.5495, 0.8491, 0.8491)
Sm (0.7160, 0.0000, 0.2840)
Sm (0.7160, 0.2840, 0.0000)
Sm (0.8491, 0.5495, 0.8491)
Sm (0.8491, 0.8491, 0.5495)
Ho (0.0000, 0.0000, 0.0000)
Ho (0.1100, 0.4483, 0.4483)
Ho (0.4483, 0.1100, 0.4483)
Ho (0.4483, 0.4483, 0.1100)
Ho (0.5517, 0.5517, 0.8900)
Ho (0.5517, 0.8900, 0.5517)
Ho (0.8900, 0.5517, 0.5517)
Zr (0.5000, 0.5000, 0.5000)

Stability ranking, top entry: (w); the second entry is 13 meV per atom less favorable.

(w)
First-principles (PBE) data for SmHo2Zr after structural relaxation, as listed in Alexandria via LeMat-Bulk.

Properties
**M_tot**: 1.9 μB/cell
**Space-group type**: Fm-3m
**DOS at the Fermi energy**: 7.61 states/eV per cell

abc: 5.5011 5.5011 5.5011
angles: 60.00 60.00 60.00
Fractional coordinates of all 4 atoms:
Sm (0.0000, 0.0000, 0.0000)
Ho (0.2500, 0.2500, 0.2500)
Ho (0.7500, 0.7500, 0.7500)
Zr (0.5000, 0.5000, 0.5000)

(x)
First-principles (PBE) data for SmHo2Zr after structural relaxation, as listed in Alexandria via LeMat-Bulk.

Properties
**M_tot**: 0.0 μB/cell
**Space-group type**: R-3m
**DOS at the Fermi energy**: 5.69 states/eV per cell

abc: 12.1763 12.1763 12.1763
angles: 15.87 15.87 15.87
Fractional coordinates of all 4 atoms:
Sm (0.0000, 0.0000, 0.0000)
Ho (0.4142, 0.4142, 0.4142)
Ho (0.5858, 0.5858, 0.5858)
Zr (0.5000, 0.5000, 0.5000)

Stability ranking, top entry: (w); the second entry is 86 meV per atom less favorable.

(w)
First-principles (PBE) data for Ho4Sn after structural relaxation, as listed in Alexandria via LeMat-Bulk.

Properties
**M_tot**: 0.0 μB/cell
**Space-group type**: I4_1/amd
**DOS at the Fermi energy**: 16.03 states/eV per cell

abc: 7.6095 7.6095 7.6095
angles: 105.25 105.25 118.30
Fractional coordinates of all 10 atoms:
Ho (0.2201, 0.2858, 0.5657)
Ho (0.2201, 0.6544, 0.9343)
Ho (0.2858, 0.2201, 0.0657)
Ho (0.3456, 0.7799, 0.5657)
Ho (0.6544, 0.2201, 0.4343)
Ho (0.7142, 0.7799, 0.9343)
Ho (0.7799, 0.3456, 0.0657)
Ho (0.7799, 0.7142, 0.4343)
Sn (0.1250, 0.8750, 0.2500)
Sn (0.8750, 0.1250, 0.7500)

(x)
First-principles (PBE) data for Ho4Sn after structural relaxation, as listed in Alexandria via LeMat-Bulk.

Properties
**M_tot**: 1.1 μB/cell
**Space-group type**: Pm-3m
**DOS at the Fermi energy**: 10.05 states/eV per cell

abc: 5.7111 5.7111 5.7111
angles: 90.00 90.00 90.00
Fractional coordinates of all 5 atoms:
Ho (0.0000, 0.0000, 0.0000)
Ho (0.0000, 0.5000, 0.5000)
Ho (0.5000, 0.0000, 0.5000)
Ho (0.5000, 0.5000, 0.0000)
Sn (0.5000, 0.5000, 0.5000)

Stability ranking, top entry: (w); the second entry is 365 meV per atom less favorable.